Here is a relaxed Ta4CoCu2 crystal from Alexandria via LeMat-Bulk. Energies are from GGA-PBE.

Summary:
Electronic total energy ... -8.104 eV/atom
Space group ... I4/mmm (139)
Magnetization ... 0.00 μB/atom
Calculated density ... 11.82 g cm⁻³

Cell: 7.028 7.028 7.028 Å, 142.50 142.50 54.08°
Fractional coordinates of all 7 atoms:
Ta: 0.000 0.500 0.500
Ta: 0.191 0.191 0.000
Ta: 0.500 0.000 0.500
Ta: 0.809 0.809 0.000
Co: 0.000 0.000 0.000
Cu: 0.387 0.387 0.000
Cu: 0.613 0.613 0.000